Density functional theory data (PBE) for a geometry-optimized Th5Zn4In structure.

a = 3.6361 Å, b = 3.6361 Å, c = 19.3482 Å
α = 90.00°, β = 90.00°, γ = 90.00°
Closest atoms and distances in Å follow each position.
Atoms (fractional coordinates):
Zn 0.0000 0.0000 0.7867  8 Th 3.18-3.19
Zn 0.0000 0.0000 0.4048  8 Th 3.16
Zn 0.0000 0.0000 0.2133  8 Th 3.18-3.19
Zn 0.0000 0.0000 0.5952  8 Th 3.16
Th 0.5000 0.5000 0.1156  4 Zn 3.19, 4 In 3.41
Th 0.5000 0.5000 0.6900  8 Zn 3.16-3.18
Th 0.5000 0.5000 0.3100  8 Zn 3.16-3.18
Th 0.5000 0.5000 0.5000  8 Zn 3.16
Th 0.5000 0.5000 0.8844  4 Zn 3.19, 4 In 3.41
In 0.0000 0.0000 0.0000  8 Th 3.41, 4 In 3.64

## Properties
**Energy relative to the elements**: -1.809 eV/f.u.

Density functional theory data (PBE) for a geometry-optimized Ho2ZrTe structure.

a = 3.7452 Å, b = 3.7452 Å, c = 9.6740 Å
α = 78.84°, β = 78.84°, γ = 60.00°
Closest atoms and distances in Å follow each position.
Atoms (fractional coordinates):
Te 0.6668 0.6668 0.9996  6 Ho 3.07-3.08
Ho 0.2563 0.2563 0.2311  3 Te 3.07, 3 Zr 3.34
Ho 0.0775 0.0775 0.7676  3 Te 3.08, 3 Zr 3.31
Zr 0.4995 0.4995 0.5016  6 Ho 3.31-3.34

## Properties
**Energy above the lowest structure with this stoichiometry**: 68.9 meV/atom
**Energy relative to the elements, uncorrected**: -410 meV per atom

Density functional theory data (PBE) for a geometry-optimized Ti2Pd12Au5 structure.

a = 5.9469 Å, b = 7.4767 Å, c = 7.4767 Å
α = 70.57°, β = 89.20°, γ = 89.20°
Closest atoms and distances in Å follow each position.
Atoms (fractional coordinates):
Pd 0.8034 0.4264 0.9424  1 Ti 2.52, 3 Pd 2.77-2.81, 2 Au 2.80-2.82
Pd 0.1966 0.0576 0.5736  1 Ti 2.52, 3 Pd 2.77-2.81, 2 Au 2.80-2.82
Pd 0.6255 0.1642 0.6345  1 Ti 2.56, 2 Au 2.70-2.77, 4 Pd 2.76-2.85
Pd 0.3745 0.8358 0.3655  1 Ti 2.56, 2 Au 2.70-2.77, 4 Pd 2.76-2.85
Pd 0.0783 0.1103 0.1103  2 Ti 2.67, 5 Pd 2.79-2.89, 3 Au 2.83-2.86
Pd 0.8034 0.9424 0.4264  1 Ti 2.52, 3 Pd 2.77-2.81, 2 Au 2.80-2.82
Pd 0.9217 0.8897 0.8897  2 Ti 2.67, 5 Pd 2.79-2.89, 3 Au 2.83-2.86
Pd 0.2869 0.4547 0.4547  3 Au 2.72-2.86, 2 Ti 2.73, 7 Pd 2.76-2.93
Pd 0.1966 0.5736 0.0576  1 Ti 2.52, 3 Pd 2.77-2.81, 2 Au 2.80-2.82
Pd 0.7131 0.5453 0.5453  3 Au 2.72-2.86, 2 Ti 2.73, 7 Pd 2.76-2.93
Pd 0.6255 0.6345 0.1642  1 Ti 2.56, 2 Au 2.70-2.77, 4 Pd 2.76-2.85
Pd 0.3745 0.3655 0.8358  1 Ti 2.56, 2 Au 2.70-2.77, 4 Pd 2.76-2.85
Au 0.5246 0.7615 0.7615  2 Au 2.84-2.91, 10 Pd 2.85-2.97
Au 0.5000 0.0000 0.0000  6 Pd 2.70-2.83, 2 Au 2.91
Au 0.4754 0.2385 0.2385  2 Au 2.84-2.91, 10 Pd 2.85-2.97
Au 0.0885 0.6700 0.6700  9 Pd 2.72-2.86, 1 Au 2.84, 2 Ti 2.98
Au 0.9115 0.3300 0.3300  9 Pd 2.72-2.86, 1 Au 2.84, 2 Ti 2.98
Ti 0.0000 0.7388 0.2612  8 Pd 2.52-2.73
Ti 0.0000 0.2612 0.7388  8 Pd 2.52-2.73

## Properties
**Energy above the lowest structure with this stoichiometry**: 0.0 meV/atom
**Energy relative to the elements**: -4.451 eV/f.u.

Density functional theory data (PBE) for a geometry-optimized KAs2Se structure.

a = 6.2996 Å, b = 6.2996 Å, c = 5.3924 Å
α = 98.78°, β = 98.78°, γ = 34.74°
Closest atoms and distances in Å follow each position.
Atoms (fractional coordinates):
As 0.0280 0.0280 0.1217  2 As 2.49, 1 Se 2.65
As 0.4720 0.4720 0.3783  2 As 2.49, 1 Se 2.65
Se 0.2500 0.2500 0.2500  2 As 2.65
K 0.7500 0.7500 0.7500  4 Se 3.29, 2 As 3.61

## Properties
**Energy relative to the elements, uncorrected**: -341 meV per atom